Entry 1:
2
Lattice="-1.9383 1.9383 2.7302 1.9383 -1.9383 2.7302 1.9383 1.9383 -2.7302" Properties=species:S:1:pos:R:3 comment="PbN (PBE, relaxed)" relative_energy_mev_per_atom=38 e_form_raw_mev_per_atom=831 crystal_system=tetragonal space_group="I-4m2, No. 119" magmom_total_mub_per_cell=0.000 pbc="T T T"
Pb 0.0000 0.0000 0.0000
N 1.9383 0.0000 1.3651



Entry 2:
8
Lattice="-3.7393 3.7393 3.7393 3.7393 -3.7393 3.7393 3.7393 3.7393 -3.7393" Properties=species:S:1:pos:R:3 comment="PbN (PBE, relaxed)" relative_energy_mev_per_atom=213 e_form_raw_mev_per_atom=1006 crystal_system=cubic space_group="I-43m, No. 217" magmom_total_mub_per_cell=0.573 pbc="T T T"
Pb 1.2159 1.2159 -1.2159
Pb 1.2159 -1.2159 1.2159
Pb -1.2159 1.2159 1.2159
Pb 2.5234 2.5234 2.5234
N 2.5299 2.5299 -2.5299
N 2.5299 -2.5299 2.5299
N 1.2095 1.2095 1.2095
N -2.5299 2.5299 2.5299



Entry 3:
2
Lattice="-1.7556 1.7556 2.7744 1.7556 -1.7556 2.7744 1.7556 1.7556 -2.7744" Properties=species:S:1:pos:R:3 comment="PbN (PBE, relaxed)" relative_energy_mev_per_atom=80 e_form_raw_mev_per_atom=873 crystal_system=tetragonal space_group="I4mm, No. 107" magmom_total_mub_per_cell=0.000 pbc="T T T"
Pb 0.0000 0.0000 0.0000
N 0.0000 0.0000 3.1485



Entry 4:
16
Lattice="10.5480 0.0000 0.0000 0.0000 10.5480 0.0000 0.0000 0.0000 3.7388" Properties=species:S:1:pos:R:3 comment="PbN (PBE, relaxed)" relative_energy_mev_per_atom=68 e_form_raw_mev_per_atom=861 crystal_system=tetragonal space_group="P4/m, No. 83" magmom_total_mub_per_cell=0.000 pbc="T T T"
Pb 0.8682 2.7410 0.0000
Pb 1.7271 6.4382 1.8694
Pb 2.7410 9.6798 0.0000
Pb 4.1098 1.7271 1.8694
Pb 6.4382 8.8209 1.8694
Pb 7.8070 0.8682 0.0000
Pb 8.8209 4.1098 1.8694
Pb 9.6798 7.8070 0.0000
N 0.6546 3.9484 1.8694
N 1.3741 7.9753 0.0000
N 2.5727 1.3741 0.0000
N 3.9484 9.8934 1.8694
N 6.5996 0.6546 1.8694
N 7.9753 9.1739 0.0000
N 9.1739 2.5727 0.0000
N 9.8934 6.5996 1.8694



Entry 5:
4
Lattice="3.7987 0.0000 0.0000 -1.8994 3.2898 0.0000 0.0000 0.0000 6.5214" Properties=species:S:1:pos:R:3 comment="PbN (PBE, relaxed)" relative_energy_mev_per_atom=42 e_form_raw_mev_per_atom=835 crystal_system=hexagonal space_group="P6_3mc, No. 186" magmom_total_mub_per_cell=0.000 pbc="T T T"
Pb 0.0000 2.1932 0.0000
Pb 1.8994 1.0966 3.2607
N 0.0000 2.1932 4.1260
N 1.8994 1.0966 0.8653



Entry 6:
20
Lattice="10.8101 0.0000 0.0000 0.0000 3.5556 0.0000 0.0000 0.0000 12.5884" Properties=species:S:1:pos:R:3 comment="Pb3N2 (PBE, relaxed)" relative_energy_mev_per_atom=18 e_form_raw_mev_per_atom=503 crystal_system=orthorhombic space_group="Pnma, No. 62" magmom_total_mub_per_cell=0.000 pbc="T T T"
Pb 0.4198 0.8889 1.4483
Pb 0.9179 2.6667 7.5400
Pb 2.4110 2.6667 4.5435
Pb 2.9941 0.8889 10.8377
Pb 4.4871 0.8889 1.2458
Pb 4.9853 2.6667 7.7425
Pb 5.8248 0.8889 4.8459
Pb 6.3229 2.6667 11.3425
Pb 7.8160 2.6667 1.7507
Pb 8.3991 0.8889 8.0449
Pb 9.8922 0.8889 5.0483
Pb 10.3903 2.6667 11.1401
N 0.9615 0.8889 11.7580
N 1.2689 0.8889 5.9188
N 4.1362 2.6667 12.2130
N 4.4436 2.6667 5.4638
N 6.3665 0.8889 7.1246
N 6.6739 0.8889 0.3754
N 9.5412 2.6667 6.6696
N 9.8486 2.6667 0.8304



Entry 7:
10
Lattice="3.6477 0.0000 0.0000 0.0000 12.0338 0.0000 0.0000 0.0000 5.6065" Properties=species:S:1:pos:R:3 comment="Pb3N2 (PBE, relaxed)" relative_energy_mev_per_atom=0 e_form_raw_mev_per_atom=485 crystal_system=orthorhombic space_group="Pmmn, No. 59" magmom_total_mub_per_cell=0.000 pbc="T T T"
Pb 0.9119 0.8101 1.2617
Pb 0.9119 5.2067 1.2617
Pb 0.9119 9.0253 1.5227
Pb 2.7358 3.0084 4.0837
Pb 2.7358 6.8270 4.3448
Pb 2.7358 11.2236 4.3448
N 0.9119 7.2775 0.1192
N 0.9119 10.7732 0.1192
N 2.7358 1.2606 5.4873
N 2.7358 4.7563 5.4873



Entry 8:
12
Lattice="11.8676 0.0000 0.0000 0.0000 4.5068 0.0000 -1.0296 0.0000 6.4589" Properties=species:S:1:pos:R:3 comment="PdPbN (PBE, relaxed)" relative_energy_mev_per_atom=0 e_form_raw_mev_per_atom=-44 crystal_system=monoclinic space_group="P2_1/c, No. 14" magmom_total_mub_per_cell=0.000 pbc="T T T"
Pd 0.5733 1.1270 1.7454
Pd 0.0585 1.1264 4.9748
Pd 10.7795 3.3804 1.4840
Pd 10.2647 3.3798 4.7135
Pb 1.6559 3.3807 0.2615
Pb 1.1411 3.3795 3.4910
Pb 9.6970 1.1273 2.9679
Pb 9.1822 1.1261 6.1974
N 5.3499 0.4614 2.9256
N 4.8351 1.7920 6.1550
N 6.0030 2.7147 0.3039
N 5.4882 4.0454 3.5333



Entry 9:
8
Lattice="-2.5244 2.5244 5.2359 2.5244 -2.5244 5.2359 2.5244 2.5244 -5.2359" Properties=species:S:1:pos:R:3 comment="PdPbN2 (PBE, relaxed)" e_form_raw_mev_per_atom=953 crystal_system=tetragonal space_group="I-42d, No. 122" magmom_total_mub_per_cell=0.000 pbc="T T T"
Pd 0.0000 0.0000 0.0000
Pd 0.0000 2.5244 2.6180
Pb 2.5244 0.0000 2.6180
Pb 0.0000 0.0000 5.2359
N 3.7867 0.9813 -1.3090
N 0.9813 1.2622 1.3090
N -1.2622 1.5431 3.9269
N 1.5431 1.2622 6.5449



Entry 10:
4
Lattice="1.7128 0.9889 6.3443 -1.7128 0.9889 6.3443 0.0000 -1.9778 6.3443" Properties=species:S:1:pos:R:3 comment="PdPbN2 (PBE, relaxed)" e_form_raw_mev_per_atom=1029 crystal_system=trigonal space_group="R-3m, No. 166" magmom_total_mub_per_cell=0.000 pbc="T T T"
Pd 0.0000 0.0000 0.0000
Pb 0.0000 0.0000 9.5164
N 0.0000 0.0000 1.9389
N 0.0000 0.0000 17.0939



Entry 11:
8
Lattice="-3.2579 3.2579 4.2267 3.2579 -3.2579 4.2267 3.2579 3.2579 -4.2267" Properties=species:S:1:pos:R:3 comment="PdPb2N (PBE, relaxed)" e_form_raw_mev_per_atom=420 crystal_system=tetragonal space_group="I-42d, No. 122" magmom_total_mub_per_cell=0.000 pbc="T T T"
Pd 0.0000 0.0000 0.0000
Pd 0.0000 3.2579 2.1133
Pb 1.6290 -1.2911 3.1700
Pb 1.9668 1.6290 1.0567
Pb 1.6290 4.5490 -1.0567
Pb 1.2911 1.6290 5.2833
N 3.2579 0.0000 2.1133
N 0.0000 0.0000 4.2267



Entry 12:
5
Lattice="4.0866 0.0000 0.0000 0.0000 4.0866 0.0000 0.0000 0.0000 4.0866" Properties=species:S:1:pos:R:3 comment="PdPbN3 (PBE, relaxed)" e_form_raw_mev_per_atom=1642 crystal_system=cubic space_group="Pm-3m, No. 221" magmom_total_mub_per_cell=3.550 pbc="T T T"
Pd 0.0000 0.0000 0.0000
Pb 2.0433 2.0433 2.0433
N 0.0000 0.0000 2.0433
N 0.0000 2.0433 0.0000
N 2.0433 0.0000 0.0000



Entry 13:
5
Lattice="-2.8639 2.8639 3.2897 2.8639 -2.8639 3.2897 2.8639 2.8639 -3.2897" Properties=species:S:1:pos:R:3 comment="Pd2Pb2N (PBE, relaxed)" relative_energy_mev_per_atom=87 e_form_raw_mev_per_atom=546 crystal_system=tetragonal space_group="I4/mmm, No. 139" magmom_total_mub_per_cell=1.415 pbc="T T T"
Pd 0.0000 0.0000 1.3343
Pd 0.0000 0.0000 5.2451
Pb 2.8639 0.0000 1.6449
Pb 0.0000 2.8639 1.6449
N 0.0000 0.0000 3.2897



Entry 14:
10
Lattice="5.9636 0.0000 0.0000 0.0000 5.9636 0.0000 0.0000 0.0000 5.7228" Properties=species:S:1:pos:R:3 comment="Pd2Pb2N (PBE, relaxed)" relative_energy_mev_per_atom=0 e_form_raw_mev_per_atom=459 crystal_system=tetragonal space_group="P4/mbm, No. 127" magmom_total_mub_per_cell=0.000 pbc="T T T"
Pd 1.4613 1.5205 0.0000
Pd 1.5205 4.5023 0.0000
Pd 4.4431 1.4613 0.0000
Pd 4.5023 4.4431 0.0000
Pb 1.1315 4.1133 2.8614
Pb 1.8503 1.1315 2.8614
Pb 4.1133 4.8321 2.8614
Pb 4.8321 1.8503 2.8614
N 0.0000 0.0000 0.0000
N 2.9818 2.9818 0.0000



Entry 15:
6
Lattice="3.6797 0.0000 0.0000 0.0452 4.0039 0.0000 1.8171 -0.0043 8.5513" Properties=species:S:1:pos:R:3 comment="PdPbN (PBE, relaxed)" relative_energy_mev_per_atom=577 e_form_raw_mev_per_atom=532 crystal_system=triclinic space_group="P-1, No. 2" magmom_total_mub_per_cell=0.000 pbc="T T T"
Pd 0.9215 0.9986 3.3973
Pd 4.6204 3.0010 5.1540
Pb 2.7590 0.9996 7.0484
Pb 2.7830 2.9999 1.5029
N 0.9436 3.0006 2.9007
N 4.5983 0.9990 5.6506



Entry 16:
4
Lattice="1.6384 0.9459 6.5322 -1.6384 0.9459 6.5322 0.0000 -1.8918 6.5322" Properties=species:S:1:pos:R:3 comment="PdPbN2 (PBE, relaxed)" e_form_raw_mev_per_atom=979 crystal_system=trigonal space_group="R-3m, No. 166" magmom_total_mub_per_cell=0.000 pbc="T T T"
Pd 0.0000 0.0000 0.0000
Pb 0.0000 0.0000 9.7984
N 0.0000 0.0000 7.4580
N 0.0000 0.0000 12.1387



Entry 17:
5
Lattice="4.3288 0.0000 0.0000 0.0000 4.3288 0.0000 0.0000 0.0000 4.3288" Properties=species:S:1:pos:R:3 comment="PdPbN3 (PBE, relaxed)" e_form_raw_mev_per_atom=2477 crystal_system=cubic space_group="Pm-3m, No. 221" magmom_total_mub_per_cell=4.986 pbc="T T T"
Pd 0.0000 0.0000 0.0000
Pb 2.1644 2.1644 2.1644
N 0.0000 2.1644 2.1644
N 2.1644 0.0000 2.1644
N 2.1644 2.1644 0.0000



Entry 18:
5
Lattice="3.8893 0.0000 0.0000 0.0000 3.8893 0.0000 0.0000 0.0000 5.4374" Properties=species:S:1:pos:R:3 comment="RePdPbN2 (PBE, relaxed)" e_form_raw_mev_per_atom=367 crystal_system=tetragonal space_group="P4/mmm, No. 123" magmom_total_mub_per_cell=0.000 pbc="T T T"
Re 0.0000 0.0000 0.0000
Pd 0.0000 0.0000 2.7187
Pb 1.9446 1.9446 2.7187
N 0.0000 1.9446 0.0000
N 1.9446 0.0000 0.0000



Entry 19:
5
Lattice="5.2207 0.0000 0.0000 0.0000 5.2207 0.0000 0.0000 0.0000 4.2325" Properties=species:S:1:pos:R:3 comment="PdPbS2N (PBE, relaxed)" relative_energy_mev_per_atom=1007 e_form_raw_mev_per_atom=1490 crystal_system=tetragonal space_group="P4/mmm, No. 123" magmom_total_mub_per_cell=1.199 pbc="T T T"
Pd 0.0000 0.0000 0.0000
Pb 2.6104 2.6104 2.1163
S 0.0000 2.6104 2.1163
S 2.6104 0.0000 2.1163
N 2.6104 2.6104 0.0000



Entry 20:
5
Lattice="5.1511 0.0000 0.0000 0.0000 5.1511 0.0000 0.0000 0.0000 3.7962" Properties=species:S:1:pos:R:3 comment="PdPbS2N (PBE, relaxed)" relative_energy_mev_per_atom=0 e_form_raw_mev_per_atom=483 crystal_system=tetragonal space_group="P4/mmm, No. 123" magmom_total_mub_per_cell=0.697 pbc="T T T"
Pd 0.0000 0.0000 0.0000
Pb 2.5755 2.5755 1.8981
S 0.0000 2.5755 0.0000
S 2.5755 0.0000 0.0000
N 0.0000 0.0000 1.8981